Entry 1:
DFT (PBE) results for a relaxed structure of TbNpIn6.

a b c (Å): 4.636 4.636 9.301
angles (deg): 90.00 90.00 90.00
Element x y z (fractional)
Tb 0.000 0.000 0.000
Np 0.000 0.000 0.500
In 0.000 0.500 0.251
In 0.000 0.500 0.749
In 0.500 0.000 0.251
In 0.500 0.000 0.749
In 0.500 0.500 0.000
In 0.500 0.500 0.500

Summary:
Its energy is -35.75 eV/cell. The calculation puts the calculated volume at 25.0 A^3/atom. As for the space group: No. 123.

Entry 2:
DFT (PBE) results for a relaxed structure of Ge2Mo6C.

a b c (Å): 5.182 6.425 9.481
angles (deg): 90.00 122.91 90.00
Element x y z (fractional)
Ge 0.165 0.103 0.238
Ge 0.165 0.397 0.738
Ge 0.835 0.603 0.262
Ge 0.835 0.897 0.762
Mo 0.088 0.208 0.952
Mo 0.088 0.292 0.452
Mo 0.334 0.681 0.961
Mo 0.334 0.819 0.461
Mo 0.349 0.023 0.747
Mo 0.349 0.477 0.247
Mo 0.651 0.523 0.753
Mo 0.651 0.977 0.253
Mo 0.666 0.181 0.539
Mo 0.666 0.319 0.039
Mo 0.912 0.708 0.548
Mo 0.912 0.792 0.048
C 0.500 0.000 0.000
C 0.500 0.500 0.500

Summary:
Its energy is -165.71 eV/cell. The calculation puts the calculated volume at 14.7 A^3/atom. As for the space group: No. 14.

Entry 3:
DFT (PBE) results for a relaxed structure of Nd4Er3Tm.

a b c (Å): 11.520 7.316 6.284
angles (deg): 90.00 90.00 90.00
Element x y z (fractional)
Nd 0.000 0.129 0.000
Nd 0.000 0.871 0.497
Nd 0.249 0.871 0.836
Nd 0.251 0.129 0.336
Nd 0.500 0.129 0.997
Nd 0.500 0.871 0.500
Nd 0.749 0.129 0.336
Nd 0.751 0.871 0.836
Er 0.000 0.379 0.501
Er 0.250 0.380 0.834
Er 0.250 0.620 0.334
Er 0.500 0.621 0.001
Er 0.750 0.380 0.834
Er 0.750 0.620 0.334
Tm 0.000 0.619 0.000
Tm 0.500 0.381 0.500

Summary:
Its energy is -74.02 eV/cell. The calculation puts the calculated volume at 33.1 A^3/atom. The energy above the most stable polymorph in this dataset comes out at 0 meV/atom. As for the space group: No. 31.

Entry 4:
DFT (PBE) results for a relaxed structure of Li2NiOs.

a b c (Å): 5.144 5.144 5.144
angles (deg): 151.29 129.13 59.45
Element x y z (fractional)
Li 0.235 0.235 0.000
Li 0.765 0.765 0.000
Ni 0.000 0.500 0.500
Os 0.500 0.000 0.500

Summary:
Its energy is -20.54 eV/cell. The calculation puts the calculated volume at 12.6 A^3/atom. The energy above the most stable polymorph in this dataset comes out at 24 meV/atom. As for the space group: No. 71.

Entry 5:
DFT (PBE) results for a relaxed structure of La2CePu3As6.

a b c (Å): 9.458 9.458 8.463
angles (deg): 102.64 102.64 25.87
Element x y z (fractional)
La 0.166 0.166 0.332
La 0.834 0.834 0.668
Ce 0.500 0.500 0.000
Pu 0.168 0.168 0.834
Pu 0.500 0.500 0.500
Pu 0.832 0.832 0.166
As 0.004 0.004 0.751
As 0.333 0.333 0.928
As 0.336 0.336 0.407
As 0.664 0.664 0.593
As 0.667 0.667 0.072
As 0.996 0.996 0.249

Summary:
Its energy is -101.56 eV/cell. The calculation puts the calculated volume at 26.8 A^3/atom. As for the space group: No. 12.

Entry 6:
DFT (PBE) results for a relaxed structure of RbMoI2N.

a b c (Å): 6.046 6.046 3.925
angles (deg): 90.00 90.00 90.00
Element x y z (fractional)
Rb 0.000 0.000 0.000
Mo 0.500 0.500 0.500
I 0.000 0.500 0.500
I 0.500 0.000 0.500
N 0.500 0.500 0.000

Summary:
Its energy is -24.51 eV/cell. The calculation puts the calculated volume at 28.7 A^3/atom. The energy above the most stable polymorph in this dataset comes out at 0 meV/atom. Its uncorrected formation energy is -0.2569 eV per atom. As for the space group: No. 123.

Entry 7:
DFT (PBE) results for a relaxed structure of InCoSeN2.

a b c (Å): 4.142 4.142 5.772
angles (deg): 90.00 90.00 90.00
Element x y z (fractional)
In 0.000 0.000 0.000
Co 0.500 0.500 0.500
Se 0.000 0.000 0.500
N 0.000 0.500 0.000
N 0.500 0.000 0.000

Summary:
Its energy is -21.31 eV/cell. The calculation puts the calculated volume at 19.8 A^3/atom. The energy above the most stable polymorph in this dataset comes out at 837 meV/atom. Its uncorrected formation energy is 1.7345 eV per atom. As for the space group: No. 123.

Entry 8:
DFT (PBE) results for a relaxed structure of Fe2TcRh.

a b c (Å): 2.658 3.694 5.288
angles (deg): 90.00 90.00 90.00
Element x y z (fractional)
Fe 0.000 0.000 0.245
Fe 0.000 0.000 0.755
Tc 0.500 0.500 0.000
Rh 0.500 0.500 0.500

Summary:
Its energy is -34.39 eV/cell. The calculation puts the calculated volume at 13.0 A^3/atom. The energy above the most stable polymorph in this dataset comes out at 47 meV/atom. As for the space group: No. 47.

Entry 9:
DFT (PBE) results for a relaxed structure of CeNi2As.

a b c (Å): 5.271 5.271 5.271
angles (deg): 45.23 45.23 45.23
Element x y z (fractional)
Ce 0.000 0.000 0.000
Ni 0.209 0.209 0.209
Ni 0.791 0.791 0.791
As 0.500 0.500 0.500

Summary:
Its energy is -24.53 eV/cell. The calculation puts the calculated volume at 16.8 A^3/atom. As for the space group: No. 166.

Entry 10:
DFT (PBE) results for a relaxed structure of BaY2Be.

a b c (Å): 5.574 5.574 5.574
angles (deg): 60.00 60.00 60.00
Element x y z (fractional)
Ba 0.000 0.000 0.000
Y 0.500 0.500 0.500
Y 0.750 0.750 0.750
Be 0.250 0.250 0.250

Summary:
Its energy is -16.21 eV/cell. The calculation puts the calculated volume at 30.6 A^3/atom. As for the space group: No. 216.

Entry 11:
DFT (PBE) results for a relaxed structure of AlZnTc2.

a b c (Å): 5.001 5.001 5.001
angles (deg): 143.27 129.48 64.07
Element x y z (fractional)
Al 0.000 0.000 0.000
Zn 0.750 0.250 0.500
Tc 0.248 0.748 0.500
Tc 0.494 0.494 0.000

Summary:
Its energy is -26.06 eV/cell. The calculation puts the calculated volume at 14.3 A^3/atom. The energy above the most stable polymorph in this dataset comes out at 129 meV/atom. As for the space group: No. 44.

Entry 12:
DFT (PBE) results for a relaxed structure of La2Sn2Bi.

a b c (Å): 8.433 8.433 4.533
angles (deg): 90.00 90.00 90.00
Element x y z (fractional)
La 0.135 0.365 0.000
La 0.365 0.865 0.000
La 0.635 0.135 0.000
La 0.865 0.635 0.000
Sn 0.174 0.674 0.500
Sn 0.326 0.174 0.500
Sn 0.674 0.826 0.500
Sn 0.826 0.326 0.500
Bi 0.000 0.000 0.000
Bi 0.500 0.500 0.000

Summary:
Its energy is -48.60 eV/cell. The calculation puts the calculated volume at 32.2 A^3/atom. The energy above the most stable polymorph in this dataset comes out at 214 meV/atom. As for the space group: No. 127.

Entry 13:
DFT (PBE) results for a relaxed structure of Nd4Dy6Th.

a b c (Å): 5.639 5.639 25.938
angles (deg): 90.00 90.00 117.86
Element x y z (fractional)
Nd 0.038 0.962 0.623
Nd 0.038 0.962 0.877
Nd 0.346 0.654 0.544
Nd 0.346 0.654 0.956
Nd 0.654 0.346 0.044
Nd 0.654 0.346 0.456
Nd 0.962 0.038 0.123
Nd 0.962 0.038 0.377
Dy 0.000 0.000 0.000
Dy 0.000 0.000 0.500
Dy 0.038 0.962 0.750
Dy 0.306 0.694 0.103
Dy 0.306 0.694 0.397
Dy 0.369 0.631 0.684
Dy 0.369 0.631 0.816
Dy 0.631 0.369 0.184
Dy 0.631 0.369 0.316
Dy 0.694 0.306 0.603
Dy 0.694 0.306 0.897
Dy 0.962 0.038 0.250
Th 0.299 0.701 0.250
Th 0.701 0.299 0.750

Summary:
Its energy is -105.28 eV/cell. The calculation puts the calculated volume at 33.2 A^3/atom. As for the space group: No. 63.

Entry 14:
DFT (PBE) results for a relaxed structure of MnV6Ru5.

a b c (Å): 7.343 7.343 7.343
angles (deg): 146.61 132.08 59.66
Element x y z (fractional)
Mn 0.000 0.000 0.000
V 0.082 0.841 0.241
V 0.233 0.500 0.733
V 0.400 0.159 0.241
V 0.600 0.841 0.759
V 0.767 0.500 0.267
V 0.918 0.159 0.759
Ru 0.174 0.674 0.500
Ru 0.334 0.334 0.000
Ru 0.500 0.000 0.500
Ru 0.666 0.666 0.000
Ru 0.826 0.326 0.500

Summary:
Its energy is -113.22 eV/cell. The calculation puts the calculated volume at 13.4 A^3/atom. As for the space group: No. 71.

Entry 15:
DFT (PBE) results for a relaxed structure of PIrAu2.

a b c (Å): 5.780 5.780 5.780
angles (deg): 100.95 100.95 128.33
Element x y z (fractional)
P 0.000 0.000 0.000
P 0.750 0.250 0.500
Ir 0.250 0.750 0.500
Ir 0.500 0.500 0.000
Au 0.089 0.625 0.964
Au 0.375 0.339 0.464
Au 0.661 0.125 0.036
Au 0.875 0.911 0.536

Summary:
Its energy is -38.42 eV/cell. The calculation puts the calculated volume at 17.0 A^3/atom. As for the space group: No. 122.